No. 1
The following is a PBE-GGA calculation of Ac2La7 after structural relaxation, from Alexandria via LeMat-Bulk.

As for the calculated formation energy: 0.013 eV per atom.

The structure belongs to space group P-31m (No. 162); the cell edges are 6.5750, 6.5750 and 9.2155 Å and the angles 90.00°, 90.00° and 120.00°. The distinct sites, in fractional coordinates, are Ac at (0.3333, 0.6667, 0.0000), La at (0.0000, 0.0000, 0.0000) and La at (0.0000, 0.3305, 0.6629).

No. 2
The following is a PBE-GGA calculation of ZrCd3Pd2 after structural relaxation, from Alexandria via LeMat-Bulk.

As for the calculated formation energy: -0.282 eV per atom.

The structure belongs to space group Cmmm (No. 65); the cell edges are 4.3753, 12.3992 and 4.2165 Å and the angles 90.00°, 90.00° and 90.00°. The distinct sites, in fractional coordinates, are Zr at (0.0000, 0.0000, 0.0000), Cd at (0.0000, 0.1751, 0.5000), Cd at (0.0000, 0.5000, 0.5000) and Pd at (0.0000, 0.3407, 0.0000).

No. 3
The following is a PBE-GGA calculation of Sr3In after structural relaxation, from Alexandria via LeMat-Bulk.

As for the calculated formation energy: -0.138 eV per atom.

The structure belongs to space group I4/mmm (No. 139); the cell edges are 6.1082, 6.1082 and 8.6570 Å and the angles 90.00°, 90.00° and 90.00°. The distinct sites, in fractional coordinates, are Sr at (0.0000, 0.0000, 0.0000), Sr at (0.0000, 0.5000, 0.2500) and In at (0.0000, 0.0000, 0.5000).

No. 4
The following is a PBE-GGA calculation of HoB3Pt6 after structural relaxation, from Alexandria via LeMat-Bulk.

As for the calculated formation energy: -0.519 eV per atom.

The structure belongs to space group P1 (No. 1); the cell edges are 5.5858, 5.6022 and 5.7362 Å and the angles 109.07°, 91.13° and 119.44°. The distinct sites, in fractional coordinates, are Ho at (0.0000, 0.0000, 0.0000), B at (0.1225, 0.2312, 0.5055), B at (0.3499, 0.7313, 0.1369), B at (0.6987, 0.4088, 0.1513), Pt at (0.0912, 0.5636, 0.3817), Pt at (0.4620, 0.9457, 0.8598), Pt at (0.4708, 0.1766, 0.3837), Pt at (0.4762, 0.4561, 0.8673), Pt at (0.7148, 0.8116, 0.4016) and Pt at (0.9575, 0.4078, 0.8155).

no.,E_tot (eV/atom)
1,-4.7326
2,-3.8951
3,-2.0841
4,-6.6048